Material: YCoN3
Method: DFT, GGA-PBE
State: relaxed

a = 3.731 Å, b = 3.731 Å, c = 3.731 Å
α = 90.00°, β = 90.00°, γ = 90.00°
Space group Pm-3m (No. 221)
One atom of each set of equivalent atoms:
Y  0.000  0.000  0.000
Co  0.500  0.500  0.500
N  0.000  0.500  0.500

Values from the calculation:
**E**: -7.53 eV per atom
**Formation energy from raw total energies**: 17.41 kJ/mol of atoms

---

Material: La3HgN
Method: DFT, GGA-PBE
State: relaxed

a = 6.5917 Å, b = 6.5917 Å, c = 23.0450 Å
α = 90.00°, β = 90.00°, γ = 120.00°
Space group R-3 (No. 148, hexagonal axes)
One atom of each set of equivalent atoms:
La  0.9998  0.3586  0.0626
Hg  0.0000  0.0000  0.1613
N  0.0000  0.0000  0.3360

Values from the calculation:
**E**: -5.33 eV per atom
**Formation energy from raw total energies**: -62.83 kJ/mol of atoms

---

Material: Rb2TlSnF8
Method: DFT, GGA-PBE
State: relaxed

a = 6.0360 Å, b = 6.0360 Å, c = 8.0096 Å
α = 90.00°, β = 90.00°, γ = 120.00°
Space group P-3m1 (No. 164)
One atom of each set of equivalent atoms:
Rb  0.3333  0.6667  0.3350
Tl  0.0000  0.0000  0.0000
Sn  0.0000  0.0000  0.5000
F  0.1546  0.3092  0.6472
F  0.3333  0.6667  0.9978

Values from the calculation:
**E**: -4.18 eV per atom
**Formation energy from raw total energies**: -215.85 kJ/mol of atoms

---

Material: BaNaCrMo2
Method: DFT, GGA-PBE
State: relaxed

a = 5.145 Å, b = 5.145 Å, c = 4.870 Å
α = 90.00°, β = 90.00°, γ = 90.00°
Space group P4/mmm (No. 123)
One atom of each set of equivalent atoms:
Ba  0.000  0.000  0.000
Na  0.500  0.500  0.500
Cr  0.500  0.500  0.000
Mo  0.000  0.500  0.500

Values from the calculation:
**E**: -4.45 eV per atom

---

Material: TaInRe2
Method: DFT, GGA-PBE
State: relaxed

a = 3.188 Å, b = 4.721 Å, c = 9.136 Å
α = 90.00°, β = 90.00°, γ = 90.00°
Space group Cmmm (No. 65)
One atom of each set of equivalent atoms:
Ta  0.000  0.000  0.000
In  0.000  0.000  0.500
Re  0.000  0.500  0.236

Values from the calculation:
**E**: -9.63 eV per atom

---

Material: NdYErTl
Method: DFT, GGA-PBE
State: relaxed

a = 4.845 Å, b = 4.899 Å, c = 4.950 Å
α = 90.00°, β = 90.00°, γ = 90.00°
Space group Pmmm (No. 47)
One atom of each set of equivalent atoms:
Nd  0.000  0.000  0.000
Y  0.500  0.000  0.500
Er  0.500  0.500  0.000
Tl  0.000  0.500  0.500

Values from the calculation:
**E**: -4.73 eV per atom

---

Q: The highest E belongs to which entry?
A: Rb2TlSnF8

---

Q: E of number 2 (La3HgN)?
A: -5.33 eV per atom

---

Copy entry 3 word for word.
Material: Rb2TlSnF8
Method: DFT, GGA-PBE
State: relaxed

a = 6.0360 Å, b = 6.0360 Å, c = 8.0096 Å
α = 90.00°, β = 90.00°, γ = 120.00°
Space group P-3m1 (No. 164)
One atom of each set of equivalent atoms:
Rb  0.3333  0.6667  0.3350
Tl  0.0000  0.0000  0.0000
Sn  0.0000  0.0000  0.5000
F  0.1546  0.3092  0.6472
F  0.3333  0.6667  0.9978

Values from the calculation:
**E**: -4.18 eV per atom
**Formation energy from raw total energies**: -215.85 kJ/mol of atoms

---

Q: Which of these has the highest E?
A: Rb2TlSnF8